(1)
The following is a DFT calculation (GGA-PBE) of a relaxed structure of BaMgCl.

Calculated values
Electronic total energy   -8.04 eV per cell
Energy above the most stable polymorph in this dataset   0.0 kJ per mole of atoms
Energy relative to the elements, uncorrected   -0.89 eV per atom
Spin magnetization   0.00 μB per formula unit
Space-group type   I4mm

a b c (Å): 8.201 8.202 4.067
angles (deg): 75.64 75.65 28.71
Fractional coordinates of all 3 atoms:
Ba (0.973, 0.973, 0.027)
Cl (0.387, 0.387, 0.613)
Mg (0.640, 0.640, 0.360)


(2)
The following is a DFT calculation (GGA-PBE) of a relaxed structure of Tb2TmPa2Co5.

Calculated values
Electronic total energy   -139.41 eV per cell
Spin magnetization   0.00 μB per formula unit
Energy of formation from the pure elements   -0.145 eV/atom
Space-group type   P4/mbm

a b c (Å): 3.449 10.474 10.474
angles (deg): 90.00 90.00 90.00
Fractional coordinates of all 20 atoms:
Tb (0.000, 0.671, 0.171)
Tb (0.000, 0.329, 0.829)
Tb (0.000, 0.171, 0.329)
Tb (0.000, 0.829, 0.671)
Tm (0.000, 0.000, 0.000)
Tm (0.000, 0.500, 0.500)
Pa (0.000, 0.136, 0.636)
Pa (0.000, 0.864, 0.364)
Pa (0.000, 0.636, 0.864)
Pa (0.000, 0.364, 0.136)
Co (0.500, 0.221, 0.041)
Co (0.500, 0.779, 0.959)
Co (0.500, 0.041, 0.779)
Co (0.500, 0.721, 0.459)
Co (0.500, 0.959, 0.221)
Co (0.500, 0.279, 0.541)
Co (0.500, 0.541, 0.721)
Co (0.500, 0.459, 0.279)
Co (0.500, 0.500, 0.000)
Co (0.500, 0.000, 0.500)